1.
Entry from Alexandria: a relaxed structure of U2SnSb (GGA-PBE).

Values from the calculation:
Magnetic moment ... 6.01 μB per formula unit
Energy above the most stable polymorph in this dataset ... 0.0 meV per atom
Formation energy (no corrections) ... -0.15 eV/f.u.
Volume ... 103.91 Å³ per cell
Space-group type ... P4/mmm, No. 123
Uncorrected energy ... -30.8 eV/cell

Cell lengths 3.6061, 3.6061, 7.9903 Å; angles 90.00, 90.00, 90.00 degrees
Site moments in Bohr magnetons follow the coordinates.
Element x y z (fractional)
U (0.0000, 0.0000, 0.7389)  2.63
U (0.0000, 0.0000, 0.2611)  2.63
Sn (0.5000, 0.5000, 0.0000)  -0.04
Sb (0.5000, 0.5000, 0.5000)  -0.11



2.
Entry from Alexandria: a relaxed structure of Tl12InBi3 (GGA-PBE).

Values from the calculation:
Magnetic moment ... 0.00 μB per formula unit
Volume ... 500.03 Å³ per cell
Space-group type ... P4/mmm, No. 123
Formation energy ... -13.6 meV per atom
Uncorrected energy ... -43.0 eV/cell

Cell lengths 5.0757, 5.0757, 19.4088 Å; angles 90.00, 90.00, 90.00 degrees
Element x y z (fractional)
Tl (0.0000, 0.5000, 0.3744)
Tl (0.0000, 0.5000, 0.8756)
Tl (0.0000, 0.5000, 0.6256)
Tl (0.5000, 0.5000, 0.2518)
Tl (0.5000, 0.0000, 0.3744)
Tl (0.5000, 0.5000, 0.0000)
Tl (0.5000, 0.0000, 0.8756)
Tl (0.5000, 0.0000, 0.1244)
Tl (0.0000, 0.5000, 0.1244)
Tl (0.5000, 0.5000, 0.5000)
Tl (0.5000, 0.5000, 0.7482)
Tl (0.5000, 0.0000, 0.6256)
Bi (0.0000, 0.0000, 0.7566)
Bi (0.0000, 0.0000, 0.5000)
Bi (0.0000, 0.0000, 0.2434)
In (0.0000, 0.0000, 0.0000)



3.
Entry from Alexandria: a relaxed structure of Ti3CdN (GGA-PBE).

Values from the calculation:
Magnetic moment ... 0.00 μB per formula unit
Formation energy (no corrections) ... 0.23 eV/f.u.
Volume ... 95.27 Å³ per cell
Space-group type ... R3m, No. 160
Uncorrected energy ... -32.7 eV/cell

Cell lengths 4.8919, 4.8919, 4.8919 Å; angles 107.80, 107.80, 107.80 degrees
Element x y z (fractional)
Ti (0.0976, 0.7144, 0.7144)
Ti (0.7144, 0.7144, 0.0976)
Ti (0.7144, 0.0976, 0.7144)
Cd (0.3810, 0.3810, 0.3810)
N (0.9676, 0.9676, 0.9676)



4.
Entry from Alexandria: a relaxed structure of TiCo (GGA-PBE).

Values from the calculation:
Magnetic moment ... 0.00 μB per formula unit
Volume ... 214.39 Å³ per cell
Space-group type ... P2_12_12_1, No. 19
Formation energy ... -328.7 meV per atom
Uncorrected energy ... -125.3 eV/cell

Cell lengths 4.5935, 4.8514, 9.6206 Å; angles 90.00, 90.00, 90.00 degrees
Element x y z (fractional)
Ti (0.6464, 0.8699, 0.6945)
Ti (0.3551, 0.9142, 0.0184)
Ti (0.6449, 0.4142, 0.4816)
Ti (0.3536, 0.3699, 0.8055)
Ti (0.1449, 0.0858, 0.5184)
Ti (0.8551, 0.5858, 0.9816)
Ti (0.1464, 0.6301, 0.3055)
Ti (0.8536, 0.1301, 0.1945)
Co (0.6406, 0.6234, 0.2282)
Co (0.3594, 0.1234, 0.2718)
Co (0.3312, 0.3999, 0.0584)
Co (0.8312, 0.1001, 0.9416)
Co (0.8594, 0.3766, 0.7282)
Co (0.1406, 0.8766, 0.7718)
Co (0.6688, 0.8999, 0.4416)
Co (0.1688, 0.6001, 0.5584)



> Which of these has the highest magnetic moment?

U2SnSb